# MnCuClO2, optimized geometry, DFT PBE with a Hubbard U
# Magnetic moment = 19.776 Bohr magnetons per cell
# VASP energy = -110.8 eV per cell
data_MnCuClO2
_chemical_formula_sum 'Mn4 Cu4 Cl4 O8'
_symmetry_space_group_name_H-M 'C m c m'
_symmetry_Int_Tables_number 63
_symmetry_space_group_name_Hall '-C 2c 2'
_cell_length_a 5.1582
_cell_length_b 11.2203
_cell_length_c 5.1816
_cell_angle_alpha 90.00
_cell_angle_beta 90.00
_cell_angle_gamma 90.00
loop_
_atom_site_label
_atom_site_type_symbol
_atom_site_fract_x
_atom_site_fract_y
_atom_site_fract_z
Mn1 Mn 0.0000 0.1152 0.2500
Cu1 Cu 0.0000 0.4788 0.2500
Cl1 Cl 0.0000 0.2463 0.7500
O1 O 0.2492 0.5000 0.0000